This record from Alexandria describes a PBEsol-optimized structure of K2ScPb. The functional is meta-GGA SCAN.

Lattice parameters (Å, degrees): 3.6280 5.5499 7.2158 111.28 102.61 94.93
Site moments in Bohr magnetons follow the coordinates.
Fractional coordinates of all 4 atoms:
K1 0.5000 0.5000 0.5000  0.04
K2 0.0000 0.0000 0.5000  0.04
Pb1 0.0000 0.5000 0.0000  -0.01
Sc1 0.5000 0.0000 0.0000  0.60

Properties
Spin magnetization in Bohr magnetons per cell: 1.41
Energy in eV/atom: -26.52
Symmetry: C2/m


This record from Alexandria describes a PBEsol-optimized structure of KPbSe2. The functional is meta-GGA SCAN.

Lattice parameters (Å, degrees): 4.1348 4.1348 7.6672 90.00 90.00 90.00
Fractional coordinates of all 4 atoms:
K1 0.0000 0.0000 0.4237
Pb1 0.5000 0.5000 0.9390
Se1 0.0000 0.0000 0.8571
Se2 0.5000 0.5000 0.2801

Properties
Spin magnetization in Bohr magnetons per cell: 0.00
Energy in eV/atom: -31.71
Raw formation energy in eV/atom: -0.6404
Symmetry: P4mm


Repeat the first record exactly.
This record from Alexandria describes a PBEsol-optimized structure of K2ScPb. The functional is meta-GGA SCAN.

Lattice parameters (Å, degrees): 3.6280 5.5499 7.2158 111.28 102.61 94.93
Site moments in Bohr magnetons follow the coordinates.
Fractional coordinates of all 4 atoms:
K1 0.5000 0.5000 0.5000  0.04
K2 0.0000 0.0000 0.5000  0.04
Pb1 0.0000 0.5000 0.0000  -0.01
Sc1 0.5000 0.0000 0.0000  0.60

Properties
Spin magnetization in Bohr magnetons per cell: 1.41
Energy in eV/atom: -26.52
Symmetry: C2/m